Material: AlCo2MoC
Method: DFT, GGA-PBE
State: relaxed

Geometry as POSCAR:
```
AlCo2MoC
1.0
3.805 0.000 0.000
0.000 3.805 0.000
0.000 0.000 4.107
Mo C Co Al
1 1 2 1
Direct
0.000 0.000 0.500
0.000 0.000 0.000
0.000 0.500 0.000
0.500 0.000 0.000
0.500 0.500 0.500
```

Calculated values
energy relative to the elements = -0.098 eV per atom
total magnetization = 2.4 Bohr magnetons per cell
raw total energy = -7.7003 eV/atom
space group = P4/mmm, No. 123

Material: NaAlCoC2
Method: DFT, GGA-PBE
State: relaxed

Geometry as POSCAR:
```
NaAlCoC2
1.0
-0.858 3.232 2.437
-4.309 0.231 -1.824
-1.378 -2.575 2.931
Co C Na Al
1 2 1 1
Direct
0.500 0.500 0.500
0.000 0.000 0.500
0.500 0.000 0.000
0.000 0.000 0.000
0.000 0.500 0.000
```

Calculated values
energy relative to the elements = 3.104 eV per atom
total magnetization = 1.6 Bohr magnetons per cell
raw total energy = -3.0189 eV/atom
space group = P4/mmm, No. 123

Material: NdAlCo2C
Method: DFT, GGA-PBE
State: relaxed

Geometry as POSCAR:
```
NdAlCo2C
1.0
3.980 0.000 0.000
-1.990 5.355 0.000
0.000 0.000 6.882
Nd C Co Al
2 2 4 2
Direct
0.557 0.114 0.250
0.443 0.886 0.750
0.000 0.000 0.500
0.000 0.000 0.000
0.160 0.320 0.938
0.160 0.320 0.562
0.840 0.680 0.438
0.840 0.680 0.062
0.276 0.552 0.250
0.724 0.448 0.750
```

Calculated values
energy relative to the elements = -0.311 eV per atom
total magnetization = 0.0 Bohr magnetons per cell
raw total energy = -6.6999 eV/atom
space group = Cmcm, No. 63

Material: AlCo2NiC
Method: DFT, GGA-PBE
State: relaxed

Geometry as POSCAR:
```
AlCo2NiC
1.0
-2.847 -2.359 -0.338
1.663 -1.590 -2.914
1.744 -2.438 2.325
Al C Co Ni
1 1 2 1
Direct
0.500 0.500 0.500
0.000 0.000 0.000
0.500 0.000 0.000
0.000 0.500 0.000
0.000 0.000 0.500
```

Calculated values
energy relative to the elements = -0.203 eV per atom
total magnetization = 0.0 Bohr magnetons per cell
raw total energy = -6.7947 eV/atom
space group = P4/mmm, No. 123

Material: AlCo2OsC
Method: DFT, GGA-PBE
State: relaxed

Geometry as POSCAR:
```
AlCo2OsC
1.0
3.775 0.000 0.000
0.000 3.775 0.000
0.000 0.000 3.994
Co Al C Os
2 1 1 1
Direct
0.500 0.000 0.000
0.000 0.500 0.000
0.500 0.500 0.500
0.000 0.000 0.000
0.000 0.000 0.500
```

Calculated values
energy relative to the elements = -0.091 eV per atom
total magnetization = 1.0 Bohr magnetons per cell
raw total energy = -7.7723 eV/atom
space group = P4/mmm, No. 123

Material: PaAlCo2C
Method: DFT, GGA-PBE
State: relaxed

Geometry as POSCAR:
```
PaAlCo2C
1.0
3.796 0.000 0.000
-1.898 5.476 0.000
0.000 0.000 6.689
Co C Al Pa
4 2 2 2
Direct
0.160 0.321 0.550
0.840 0.679 0.050
0.840 0.679 0.450
0.160 0.321 0.950
0.000 0.000 0.500
0.000 0.000 0.000
0.282 0.565 0.250
0.718 0.435 0.750
0.563 0.125 0.250
0.437 0.875 0.750
```

Calculated values
energy relative to the elements = -0.341 eV per atom
total magnetization = 0.0 Bohr magnetons per cell
raw total energy = -7.6757 eV/atom
space group = Cmcm, No. 63

Material: PaAl2Co2C
Method: DFT, GGA-PBE
State: relaxed

Geometry as POSCAR:
```
PaAl2Co2C
1.0
-0.656 0.552 3.593
1.222 -3.405 0.746
5.951 3.833 -1.401
Al Pa Co C
2 1 2 1
Direct
0.750 0.250 0.500
0.250 0.750 0.500
0.500 0.500 0.000
0.868 0.868 0.737
0.132 0.132 0.263
0.000 0.000 0.000
```

Calculated values
energy relative to the elements = -0.201 eV per atom
total magnetization = 0.0 Bohr magnetons per cell
raw total energy = -6.9369 eV/atom
space group = I4/mmm, No. 139

Material: AlCoPb2C
Method: DFT, GGA-PBE
State: relaxed

Geometry as POSCAR:
```
AlCoPb2C
1.0
5.066 0.000 0.000
0.000 3.609 0.000
0.000 0.000 5.066
Pb C Co Al
2 1 1 1
Direct
0.000 0.000 0.500
0.500 0.000 0.000
0.000 0.000 0.000
0.000 0.500 0.000
0.500 0.500 0.500
```

Calculated values
energy relative to the elements = 0.762 eV per atom
total magnetization = 0.0 Bohr magnetons per cell
raw total energy = -4.7362 eV/atom
space group = P4/mmm, No. 123

Material: Pr2Al2Co2C
Method: DFT, GGA-PBE
State: relaxed

Geometry as POSCAR:
```
Pr2Al2Co2C
1.0
4.137 0.000 0.000
2.068 5.564 -0.531
2.068 1.508 5.438
C Pr Co Al
1 2 2 2
Direct
0.000 0.000 0.000
0.444 0.820 0.291
0.556 0.180 0.709
0.189 0.710 0.911
0.811 0.290 0.089
0.173 0.394 0.260
0.827 0.606 0.740
```

Calculated values
energy relative to the elements = -0.373 eV per atom
total magnetization = 0.0 Bohr magnetons per cell
raw total energy = -6.1558 eV/atom
space group = C2/m, No. 12

Material: Rb2AlCoC
Method: DFT, GGA-PBE
State: relaxed

Geometry as POSCAR:
```
Rb2AlCoC
1.0
-2.484 5.543 3.093
-3.377 -1.202 -0.559
0.171 -3.262 5.983
Co Rb Al C
1 2 1 1
Direct
0.500 0.500 0.500
0.000 0.000 0.500
0.500 0.000 0.000
0.000 0.000 0.000
0.000 0.500 0.000
```

Calculated values
energy relative to the elements = 1.128 eV per atom
total magnetization = 2.0 Bohr magnetons per cell
raw total energy = -3.2739 eV/atom
space group = P4/mmm, No. 123

Material: AlCo2ReC
Method: DFT, GGA-PBE
State: relaxed

Geometry as POSCAR:
```
AlCo2ReC
1.0
-2.363 -0.720 -2.840
-1.047 -3.200 1.682
-2.950 1.990 1.950
Co Al Re C
2 1 1 1
Direct
0.500 0.000 0.000
0.000 0.500 0.000
0.500 0.500 0.500
0.000 0.000 0.500
0.000 0.000 0.000
```

Calculated values
energy relative to the elements = -0.076 eV per atom
total magnetization = 0.6 Bohr magnetons per cell
raw total energy = -8.0014 eV/atom
space group = P4/mmm, No. 123

Material: AlCo2RuC
Method: DFT, GGA-PBE
State: relaxed

Geometry as POSCAR:
```
AlCo2RuC
1.0
-3.323 -1.614 0.635
1.442 -1.807 2.951
-1.031 3.056 2.375
C Co Ru Al
1 2 1 1
Direct
0.000 0.000 0.000
0.000 0.500 0.000
0.500 0.000 0.000
0.000 0.000 0.500
0.500 0.500 0.500
```

Calculated values
energy relative to the elements = -0.195 eV per atom
total magnetization = 0.9 Bohr magnetons per cell
raw total energy = -7.4855 eV/atom
space group = P4/mmm, No. 123